A relaxed Ni4Pt4Rh crystal. Source: Alexandria via LeMat-Bulk, functional PBE.

Output
Formation enthalpy at 0 K, eV/atom: 0.3415
Spin magnetization, μB per atom: 0.5823
Theoretical density, kg/m3: 13268
Calculated volume, A^3/atom: 15.55
E above lowest polymorph, eV per atom: 0.394

Cell and atoms, written as POSCAR:
```
Ni4Pt4Rh
1.0
-3.654 -0.993 4.326
1.243 -5.608 -0.238
6.276 1.155 5.567
Ni Pt Rh
8 8 2
direct
0.267 0.500 0.759
0.733 0.500 0.759
0.500 0.733 0.241
0.500 0.267 0.241
0.000 0.767 0.259
0.000 0.233 0.259
0.233 0.000 0.741
0.767 0.000 0.741
0.500 0.783 0.928
0.500 0.217 0.928
0.783 0.500 0.072
0.217 0.500 0.072
0.283 0.000 0.428
0.717 0.000 0.428
0.000 0.283 0.572
0.000 0.717 0.572
0.000 0.000 0.000
0.500 0.500 0.500
```